P) Below is an optimized crystal structure of Sm4Y8Tm3, with properties calculated at the GGA-PBE level.

calculated density = 6.0 Mg/m³
symmetry = No. 12
magnetic moment = 0.9 μB/cell

```
15
Lattice="-3.691 -3.245 4.637 8.201 -4.178 -1.339 4.718 7.076 3.766" Properties=species:S:1:pos:R:3 pbc="T T T"
Sm -1.845 -1.623 2.318
Sm 4.101 -2.089 -0.669
Sm 0.000 0.000 0.000
Sm 2.359 3.538 1.883
Y 1.521 -0.910 3.045
Y 6.950 -0.136 0.495
Y 3.483 0.775 0.669
Y 5.474 -2.952 2.272
Y 3.754 2.604 4.792
Y 5.746 -1.122 6.395
Y 5.969 3.033 1.932
Y 7.708 0.563 4.019
Tm 2.255 -3.712 1.649
Tm 0.514 1.915 4.201
Tm 4.614 -0.174 3.532
```



Q) Below is an optimized crystal structure of Sm4Y8Tm3, with properties calculated at the GGA-PBE level.

calculated density = 6.1 Mg/m³
symmetry = No. 166
magnetic moment = 0.0 μB/cell

```
15
Lattice="-5.943 -1.058 -3.472 -5.985 -0.733 3.484 -5.724 11.043 -0.552" Properties=species:S:1:pos:R:3 pbc="T T T"
Sm 0.000 0.000 0.000
Sm -9.686 10.350 -0.543
Sm -8.826 4.626 -0.270
Sm -7.967 -1.098 0.003
Y -4.442 2.504 -0.144
Y -7.405 1.978 1.615
Y -10.392 1.446 -0.131
Y -7.384 1.814 -1.882
Y -13.211 6.749 -0.396
Y -10.248 7.275 -2.155
Y -7.260 7.807 -0.409
Y -10.269 7.438 1.342
Tm -5.834 4.992 -2.012
Tm -2.862 5.522 -0.276
Tm -5.855 5.155 1.466
```



Relative energies, unit meV per atom: P) 246; Q) 0



P) Below is an optimized crystal structure of Sm6Y3Tm2, with properties calculated at the GGA-PBE level.

calculated density = 7.0 Mg/m³
symmetry = No. 166
magnetic moment = 0.0 μB/cell

```
11
Lattice="3.583 0.000 0.220 1.785 3.107 0.220 -0.172 -0.100 32.124" Properties=species:S:1:pos:R:3 pbc="T T T"
Sm 4.830 2.796 9.212
Sm 0.366 0.212 23.351
Sm 4.296 2.487 17.914
Sm 0.900 0.521 14.650
Sm 3.400 1.968 3.216
Sm 1.797 1.040 29.347
Y 0.000 0.000 0.000
Y 3.765 2.179 26.573
Y 1.431 0.828 5.990
Tm 2.865 1.658 11.925
Tm 2.331 1.349 20.639
```



Q) Below is an optimized crystal structure of Sm6Y3Tm2, with properties calculated at the GGA-PBE level.

calculated density = 6.6 Mg/m³
symmetry = No. 139
magnetic moment = 0.0 μB/cell

```
11
Lattice="-0.294 0.156 4.759 -4.094 -2.442 -0.173 10.677 -13.150 -1.300" Properties=species:S:1:pos:R:3 pbc="T T T"
Sm -0.026 -4.625 0.150
Sm 1.873 -3.327 2.616
Sm 6.315 -10.811 3.136
Sm 4.415 -12.110 0.670
Sm 1.109 -6.709 2.679
Sm 5.180 -8.727 0.606
Y 0.000 0.000 0.000
Y 2.877 -9.688 2.886
Y 3.411 -5.748 0.399
Tm 7.714 -12.996 0.903
Tm -1.425 -2.440 2.383
```



Relative energies, unit meV per atom: P) 0; Q) 273



P) Below is an optimized crystal structure of Sm2TmZn2, with properties calculated at the GGA-PBE level.

calculated density = 7.7 Mg/m³
symmetry = No. 65
magnetic moment = 0.9 μB/cell

```
5
Lattice="-0.265 1.007 3.368 0.276 -3.428 1.047 10.242 -0.747 1.030" Properties=species:S:1:pos:R:3 pbc="T T T"
Sm 6.738 -1.082 0.855
Sm 3.780 -3.093 1.223
Tm 0.000 0.000 0.000
Zn 1.650 -1.053 2.290
Zn 8.603 -2.115 3.155
```



Q) Below is an optimized crystal structure of Sm2TmZn2, with properties calculated at the GGA-PBE level.

calculated density = 7.7 Mg/m³
symmetry = No. 11
magnetic moment = 0.0 μB/cell

```
10
Lattice="4.375 0.000 0.000 0.000 4.488 -0.235 0.000 -1.569 13.323" Properties=species:S:1:pos:R:3 pbc="T T T"
Sm 1.094 2.839 11.616
Sm 3.281 0.081 1.473
Sm 1.094 0.356 6.961
Sm 3.281 2.563 6.127
Tm 1.094 2.434 3.479
Tm 3.281 0.486 9.610
Zn 1.094 2.694 8.691
Zn 3.281 0.225 4.397
Zn 1.094 2.278 0.574
Zn 3.281 0.642 12.514
```



Relative energies, unit meV per atom: P) 0; Q) 58



P) Below is an optimized crystal structure of SmTmZn4, with properties calculated at the GGA-PBE level.

calculated density = 7.9 Mg/m³
symmetry = No. 71
magnetic moment = 0.0 μB/cell

```
6
Lattice="-4.461 -0.494 -0.178 -2.393 -0.653 5.134 -2.833 4.887 0.781" Properties=species:S:1:pos:R:3 pbc="T T T"
Sm 0.000 0.000 0.000
Tm -2.613 2.117 2.958
Zn -4.608 -0.279 2.926
Zn -4.863 1.294 4.954
Zn -5.079 4.019 2.812
Zn -4.825 2.446 0.785
```



Q) Below is an optimized crystal structure of SmTmZn4, with properties calculated at the GGA-PBE level.

calculated density = 8.3 Mg/m³
symmetry = No. 216
magnetic moment = 0.0 μB/cell

```
6
Lattice="-1.489 -5.208 -0.785 3.713 -4.000 0.416 -0.173 -3.465 4.233" Properties=species:S:1:pos:R:3 pbc="T T T"
Zn 1.369 -6.188 0.296
Zn -0.577 -5.920 2.207
Zn 1.282 -7.922 2.416
Zn 2.027 -5.315 2.809
Tm 0.000 0.000 0.000
Sm 0.513 -3.168 0.966
```



Relative energies, unit meV per atom: P) 0; Q) 36



P) Below is an optimized crystal structure of Sm3Tm2Zn2, with properties calculated at the GGA-PBE level.

calculated density = 7.8 Mg/m³
symmetry = No. 65
magnetic moment = 0.0 μB/cell

```
7
Lattice="3.565 0.000 0.473 0.000 3.555 0.000 -0.227 0.000 15.377" Properties=species:S:1:pos:R:3 pbc="T T T"
Sm 3.078 0.000 4.141
Sm 0.000 0.000 0.000
Sm 0.260 3.555 11.709
Tm 2.368 1.777 9.489
Tm 0.970 1.777 6.362
Zn 1.798 1.777 13.789
Zn 1.540 1.777 2.061
```



Q) Below is an optimized crystal structure of Sm3Tm2Zn2, with properties calculated at the GGA-PBE level.

calculated density = 7.8 Mg/m³
symmetry = No. 12
magnetic moment = 0.0 μB/cell

```
7
Lattice="-0.606 2.683 2.490 -5.988 -1.336 -2.782 2.369 -5.633 6.647" Properties=species:S:1:pos:R:3 pbc="T T T"
Sm -0.303 1.341 1.245
Sm -0.625 -1.127 3.827
Sm -3.600 -3.159 2.528
Tm -4.270 0.302 1.400
Tm 0.044 -4.589 4.955
Zn -2.434 -3.048 5.456
Zn -1.791 -1.239 0.899
```



Relative energies, unit meV per atom: P) 47; Q) 0



P) Below is an optimized crystal structure of Sm2Tm3Zn2, with properties calculated at the GGA-PBE level.

calculated density = 8.2 Mg/m³
symmetry = No. 65
magnetic moment = 0.8 μB/cell

```
7
Lattice="0.258 3.052 -1.865 -2.611 -1.058 -2.092 -10.147 4.959 10.157" Properties=species:S:1:pos:R:3 pbc="T T T"
Sm -7.341 3.378 4.512
Sm -5.158 3.574 1.688
Tm -9.690 4.898 6.674
Tm -2.810 2.054 -0.474
Tm 0.000 0.000 0.000
Zn -2.743 1.776 2.526
Zn -7.145 6.234 5.766
```



Q) Below is an optimized crystal structure of Sm2Tm3Zn2, with properties calculated at the GGA-PBE level.

calculated density = 8.1 Mg/m³
symmetry = No. 12
magnetic moment = 0.0 μB/cell

```
7
Lattice="4.708 0.000 0.000 -2.354 5.670 -0.389 0.000 -3.106 7.413" Properties=species:S:1:pos:R:3 pbc="T T T"
Sm 2.354 3.478 1.275
Sm 0.000 -0.914 5.748
Tm 2.354 0.000 0.000
Tm 2.354 0.090 3.305
Tm 0.000 2.473 3.719
Zn 2.354 1.507 5.717
Zn 0.000 1.057 1.306
```



Relative energies, unit meV per atom: P) 0; Q) 38



P) Below is an optimized crystal structure of Sm4TmZn, with properties calculated at the GGA-PBE level.

calculated density = 7.6 Mg/m³
symmetry = No. 15
magnetic moment = 0.0 μB/cell

```
12
Lattice="6.262 -0.674 0.000 -2.519 8.751 0.000 -1.871 -4.038 6.851" Properties=species:S:1:pos:R:3 pbc="T T T"
Sm -1.606 -1.698 5.317
Sm 1.797 3.172 4.333
Sm -1.525 2.035 5.317
Sm -1.185 5.242 4.333
Sm 3.056 -1.203 2.518
Sm 3.396 2.003 1.534
Sm 0.075 0.866 2.518
Sm 3.477 5.737 1.534
Tm 0.306 4.207 1.283
Tm 1.565 -0.169 5.568
Zn 1.565 -0.169 0.004
Zn 0.306 4.207 6.847
```



Q) Below is an optimized crystal structure of Sm4TmZn, with properties calculated at the GGA-PBE level.

calculated density = 7.7 Mg/m³
symmetry = No. 123
magnetic moment = 0.0 μB/cell

```
6
Lattice="-1.815 0.805 3.018 -0.389 -3.521 0.705 11.838 0.111 7.089" Properties=species:S:1:pos:R:3 pbc="T T T"
Sm 1.025 -1.338 3.135
Sm 7.484 0.070 4.482
Sm 4.354 0.041 2.607
Sm 8.610 -1.267 7.677
Tm 0.000 0.000 0.000
Zn 4.817 -1.303 5.406
```



Relative energies, unit meV per atom: P) 101; Q) 0



P) Below is an optimized crystal structure of SmTm2Zr, with properties calculated at the GGA-PBE level.

calculated density = 8.4 Mg/m³
symmetry = No. 123
magnetic moment = 0.0 μB/cell

```
4
Lattice="-2.802 -1.174 3.780 1.397 -4.629 -0.402 3.705 0.857 3.013" Properties=species:S:1:pos:R:3 pbc="T T T"
Tm 1.852 0.429 1.507
Tm 0.699 -2.314 -0.201
Zr -1.401 -0.587 1.890
Sm 1.150 -2.473 3.196
```



Q) Below is an optimized crystal structure of SmTm2Zr, with properties calculated at the GGA-PBE level.

calculated density = 8.3 Mg/m³
symmetry = No. 166
magnetic moment = 0.0 μB/cell

```
4
Lattice="-1.927 -2.256 1.539 -0.347 -3.062 -1.294 8.692 -5.520 6.417" Properties=species:S:1:pos:R:3 pbc="T T T"
Tm 6.254 -4.553 4.783
Tm 0.164 -6.285 1.879
Zr 0.000 0.000 0.000
Sm 3.209 -5.419 3.331
```



R) Below is an optimized crystal structure of SmTm2Zr, with properties calculated at the GGA-PBE level.

calculated density = 8.3 Mg/m³
symmetry = No. 225
magnetic moment = 1.6 μB/cell

```
4
Lattice="5.467 0.000 0.000 2.733 4.735 0.000 2.733 1.578 4.464" Properties=species:S:1:pos:R:3 pbc="T T T"
Tm 2.733 1.578 1.116
Tm 8.200 4.735 3.348
Zr 5.467 3.156 2.232
Sm 0.000 0.000 0.000
```



Relative energies, unit meV per atom: P) 0; Q) 213; R) 116